No. 1
A plane-wave DFT calculation with PBE-GGA was carried out for a relaxed structure of AlInAu2.

abc: 3.711 4.509 4.528
angles: 90.00 90.00 90.00
Space group Pmmm (No. 47)
Inequivalent atoms, fractional coordinates:
Al 0.000 0.000 0.000 [1 per cell]
In 0.000 0.500 0.500 [1 per cell]
Au 0.500 0.000 0.500 [1 per cell]
Au 0.500 0.500 0.000 [1 per cell]

No. 2
A plane-wave DFT calculation with PBE-GGA was carried out for a relaxed structure of AlInAu4.

The energy above the lowest structure with this stoichiometry is 0 meV/atom.

abc: 17.738 4.925 5.300
angles: 90.00 104.45 90.00
Space group C2/c (No. 15)
Inequivalent atoms, fractional coordinates:
Al 0.250 0.250 0.000 [4 per cell]
In 0.000 0.248 0.250 [4 per cell]
Au 0.088 0.252 0.813 [8 per cell]
Au 0.173 0.248 0.374 [8 per cell]

Listing magnetic moment for the structures above in their given order: 0.0; 0.0 μB/f.u..
Listing final energy for the structures above in their given order: -3.353; -3.463 eV/atom.
Listing energy of formation for the structures above in their given order: -94.5; -198.2 meV/atom.